First-principles (PBE) data for Pr4Si3Ir after structural relaxation, as listed in the Alexandria database.

```
Pr4Si3Ir
1.0
4.004 0.000 0.000
0.000 4.424 0.000
0.000 0.000 11.144
Pr Si Ir
4 3 1
direct
0.000 0.000 0.000 Pr
0.000 0.500 0.492 Pr
0.500 0.000 0.278 Pr
0.500 0.500 0.781 Pr
0.000 0.000 0.702 Si
0.000 0.500 0.201 Si
0.500 0.000 0.567 Si
0.500 0.500 0.068 Ir
```

Properties
DOS(E_F)   0.938 states/eV per atom
Space group   Pmm2
E   -6.244 eV/atom
E_form (uncorrected)   -0.71 eV/atom